(1)
Computed, not measured: a geometry-optimized Ru2SeS structure at the PBE level of DFT.

Values from the calculation:
Energy relative to the elements, uncorrected, eV/atom: -0.036
Total moment, μB/f.u.: 0.0
Crystal system: tetragonal
Fermi-level density of states, states/eV/f.u.: 3.61
Density, Mg/m³: 6.8
Energy relative to the lowest polymorph listed for this composition, eV/atom: 0.000

abc: 5.2944 5.2944 10.9498
angles: 90.00 90.00 90.00
Space group I-42d (No. 122)
Unique sites:
Ru 0.2172 0.2500 0.1250 x8
Se 0.0000 0.0000 0.5000 x4
S 0.0000 0.0000 0.0000 x4



(2)
Computed, not measured: a geometry-optimized NbCu3Si structure at the PBE level of DFT.

Values from the calculation:
Energy relative to the elements, uncorrected, eV/atom: 1.666
Total moment, μB/f.u.: 0.0
Crystal system: cubic
Fermi-level density of states, states/eV/f.u.: 6.19
Density, Mg/m³: 4.8
Energy relative to the lowest polymorph listed for this composition, eV/atom: 1.056

abc: 4.7541 4.7541 4.7541
angles: 90.00 90.00 90.00
Space group Pm-3m (No. 221)
Unique sites:
Nb 0.0000 0.0000 0.0000 x1
Cu 0.0000 0.0000 0.5000 x3
Si 0.5000 0.5000 0.5000 x1



(3)
Computed, not measured: a geometry-optimized Ce2Y3Ho8 structure at the PBE level of DFT.

Values from the calculation:
Total moment, μB/f.u.: 2.3
Crystal system: monoclinic
Fermi-level density of states, states/eV/f.u.: 27.72
Density, Mg/m³: 7.4
Energy of formation from the pure elements, eV/atom: 0.187

abc: 13.4021 11.8445 12.1044
angles: 90.00 119.98 90.00
Space group C2/c (No. 15)
Unique sites:
Ce 0.0385 0.1601 0.0485 x8
Y 0.0000 0.0451 0.7500 x4
Y 0.0000 0.3728 0.2500 x4
Y 0.0000 0.5000 0.0000 x4
Ho 0.1097 0.3120 0.7288 x8
Ho 0.2168 0.1556 0.3911 x8
Ho 0.2237 0.3714 0.0414 x8
Ho 0.2277 0.0513 0.6674 x8



Q: Which of these has the highest total moment?
A: Ce2Y3Ho8